Record 1
{
  "formula": "HfNiMoAu2",
  "functional": "PBE",
  "state": "relaxed",
  "dos_ef_per_ev_cell": 5.116,
  "total_energy_ev_per_fu": -25.7,
  "e_form_ev_per_atom": 1.48,
  "lattice": [[-1.340, 4.785, 0.602], [-4.070, -1.281, 1.125], [1.395, -0.213, 4.803]],
  "species": ["Ni", "Hf", "Au", "Au", "Mo"],
  "fractional_positions": [[0.000, 0.500, 0.000], [0.000, 0.000, 0.000], [0.500, 0.000, 0.000], [0.000, 0.000, 0.500], [0.500, 0.500, 0.500]]
}


Record 2
{
  "formula": "Hf2MoOsAu",
  "functional": "PBE",
  "state": "relaxed",
  "de_polymorph_mev_per_atom": 825,
  "dos_ef_per_ev_cell": 5.263,
  "total_energy_ev_per_fu": -37.6,
  "e_form_ev_per_atom": 1.53,
  "lattice": [[-3.589, -1.796, -2.749], [0.426, -4.301, 2.254], [-3.257, 1.420, 3.324]],
  "species": ["Os", "Hf", "Hf", "Au", "Mo"],
  "fractional_positions": [[0.500, 0.500, 0.500], [0.500, 0.000, 0.000], [0.000, 0.000, 0.500], [0.000, 0.500, 0.000], [0.000, 0.000, 0.000]]
}


Record 3
{
  "formula": "Hf2MoOsAu",
  "functional": "PBE",
  "state": "relaxed",
  "de_polymorph_mev_per_atom": 0,
  "dos_ef_per_ev_cell": 5.007,
  "total_energy_ev_per_fu": -41.7,
  "e_form_ev_per_atom": 0.71,
  "lattice": [[-2.399, -4.083, -1.577], [2.577, 0.000, -3.922], [3.412, -2.871, 2.242]],
  "species": ["Hf", "Hf", "Mo", "Os", "Au"],
  "fractional_positions": [[0.000, 0.000, 0.500], [0.500, 0.000, 0.000], [0.000, 0.500, 0.000], [0.000, 0.000, 0.000], [0.500, 0.500, 0.500]]
}


Record 4
{
  "formula": "HfMoPdAu2",
  "functional": "PBE",
  "state": "relaxed",
  "dos_ef_per_ev_cell": 4.761,
  "total_energy_ev_per_fu": -25.6,
  "e_form_ev_per_atom": 1.39,
  "lattice": [[-2.444, 0.537, -4.341], [0.155, -4.669, -0.664], [-4.371, -0.486, 2.401]],
  "species": ["Mo", "Au", "Au", "Hf", "Pd"],
  "fractional_positions": [[0.500, 0.500, 0.500], [0.000, 0.000, 0.500], [0.500, 0.000, 0.000], [0.000, 0.000, 0.000], [0.000, 0.500, 0.000]]
}


Record 5
{
  "formula": "HfScMoAu",
  "functional": "PBE",
  "state": "relaxed",
  "dos_ef_per_ev_cell": 1.529,
  "total_energy_ev_per_fu": -31.5,
  "e_form_ev_per_atom": -0.28,
  "lattice": [[4.718, 0.000, 0.000], [2.359, 4.086, 0.000], [2.359, 1.362, 3.852]],
  "species": ["Sc", "Au", "Mo", "Hf"],
  "fractional_positions": [[0.250, 0.250, 0.250], [0.000, 0.000, 0.000], [0.500, 0.500, 0.500], [0.750, 0.750, 0.750]]
}


Record 6
{
  "formula": "HfSiMoAu2",
  "functional": "PBE",
  "state": "relaxed",
  "e_form_raw_ev_per_atom": 1.4496,
  "dos_ef_per_ev_cell": 3.369,
  "total_energy_ev_per_fu": -25.5,
  "lattice": [[-5.152, -0.090, 0.317], [-0.025, -4.477, -1.681], [0.329, -1.812, 4.823]],
  "species": ["Au", "Hf", "Mo", "Si", "Au"],
  "fractional_positions": [[0.000, 0.000, 0.500], [0.000, 0.000, 0.000], [0.000, 0.500, 0.000], [0.500, 0.500, 0.500], [0.500, 0.000, 0.000]]
}


Record 7
{
  "formula": "HfTl2MoAu",
  "functional": "PBE",
  "state": "relaxed",
  "dos_ef_per_ev_cell": 4.440,
  "total_energy_ev_per_fu": -21.8,
  "e_form_ev_per_atom": 1.40,
  "lattice": [[5.152, 0.000, 0.000], [0.000, 5.272, 0.000], [0.000, 0.000, 5.152]],
  "species": ["Mo", "Hf", "Tl", "Tl", "Au"],
  "fractional_positions": [[0.000, 0.500, 0.000], [0.500, 0.500, 0.500], [0.000, 0.000, 0.500], [0.500, 0.000, 0.000], [0.000, 0.000, 0.000]]
}


Record 8
{
  "formula": "HfV2MoAu",
  "functional": "PBE",
  "state": "relaxed",
  "dos_ef_per_ev_cell": 5.208,
  "total_energy_ev_per_fu": -37.2,
  "e_form_ev_per_atom": 1.03,
  "lattice": [[-3.938, -1.202, 1.847], [2.213, -4.059, 2.076], [0.987, 2.420, 3.679]],
  "species": ["Mo", "Au", "V", "Hf", "V"],
  "fractional_positions": [[0.000, 0.000, 0.000], [0.500, 0.500, 0.500], [0.500, 0.000, 0.000], [0.000, 0.500, 0.000], [0.000, 0.000, 0.500]]
}